No. 1
Here is a relaxed structure of CaDyEr2 from Alexandria. Energies are from PBE.

Summary:
As for the formation energy: 0.080 eV/atom. For the energy above the most stable polymorph in this dataset, the calculation gives 11 meV per atom. The calculated volume is 33.259 A^3/atom. Its space group is No. 123. Its crystal system is tetragonal.

```
CaDyEr2
1.0
3.592 0.000 0.000
0.000 3.592 0.000
0.000 0.000 10.313
Ca Dy Er
1 1 2
Direct
0.000 0.000 0.000 Ca
0.000 0.000 0.500 Dy
0.500 0.500 0.271 Er
0.500 0.500 0.729 Er
```

No. 2
Here is a relaxed structure of CaDy12Er6 from Alexandria. Energies are from PBE.

Summary:
As for the formation energy: 0.430 eV/atom. The calculated volume is 34.548 A^3/atom. Its space group is No. 166. Its crystal system is trigonal.

```
CaDy12Er6
1.0
7.509 4.335 3.361
-7.509 4.335 3.361
0.000 -8.670 3.361
Ca Dy Er
1 12 6
Direct
0.000 0.000 0.000 Ca
0.112 0.500 0.888 Dy
0.112 0.888 0.500 Dy
0.139 0.361 0.361 Dy
0.361 0.139 0.361 Dy
0.361 0.361 0.139 Dy
0.500 0.112 0.888 Dy
0.500 0.888 0.112 Dy
0.639 0.639 0.861 Dy
0.639 0.861 0.639 Dy
0.861 0.639 0.639 Dy
0.888 0.112 0.500 Dy
0.888 0.500 0.112 Dy
0.273 0.687 0.687 Er
0.313 0.313 0.727 Er
0.313 0.727 0.313 Er
0.687 0.273 0.687 Er
0.687 0.687 0.273 Er
0.727 0.313 0.313 Er
```

No. 3
Here is a relaxed structure of CaDy15Er4 from Alexandria. Energies are from PBE.

Summary:
As for the formation energy: 0.038 eV/atom. The calculated volume is 31.572 A^3/atom. Its space group is No. 123. Its crystal system is tetragonal.

```
CaDy15Er4
1.0
5.015 0.000 0.000
0.000 5.015 0.000
0.000 0.000 25.110
Ca Dy Er
1 15 4
Direct
0.000 0.000 0.000 Ca
0.000 0.500 0.105 Dy
0.000 0.500 0.302 Dy
0.000 0.500 0.500 Dy
0.000 0.500 0.698 Dy
0.000 0.500 0.895 Dy
0.500 0.000 0.105 Dy
0.500 0.000 0.302 Dy
0.500 0.000 0.500 Dy
0.500 0.000 0.698 Dy
0.500 0.000 0.895 Dy
0.500 0.500 0.000 Dy
0.500 0.500 0.201 Dy
0.500 0.500 0.401 Dy
0.500 0.500 0.599 Dy
0.500 0.500 0.799 Dy
0.000 0.000 0.202 Er
0.000 0.000 0.401 Er
0.000 0.000 0.599 Er
0.000 0.000 0.798 Er
```

No. 4
Here is a relaxed structure of CaDyEr2 from Alexandria. Energies are from PBE.

Summary:
As for the formation energy: 0.146 eV/atom. For the energy above the most stable polymorph in this dataset, the calculation gives 77 meV per atom. The calculated volume is 32.568 A^3/atom. Its space group is No. 123. Its crystal system is tetragonal.

```
CaDyEr2
1.0
5.064 0.000 0.000
0.000 5.064 0.000
0.000 0.000 5.081
Ca Dy Er
1 1 2
Direct
0.000 0.000 0.000 Ca
0.500 0.500 0.000 Dy
0.000 0.500 0.500 Er
0.500 0.000 0.500 Er
```

No. 5
Here is a relaxed structure of CaDyEr from Alexandria. Energies are from PBE.

Summary:
As for the formation energy: 0.387 eV/atom. For the energy above the most stable polymorph in this dataset, the calculation gives 313 meV per atom. The calculated volume is 34.685 A^3/atom. Its space group is No. 129. Its crystal system is tetragonal.

```
CaDyEr
1.0
4.802 0.000 0.000
0.000 4.802 0.000
0.000 0.000 9.024
Ca Dy Er
2 2 2
Direct
0.250 0.750 0.000 Ca
0.750 0.250 0.000 Ca
0.250 0.250 0.315 Dy
0.750 0.750 0.685 Dy
0.250 0.250 0.683 Er
0.750 0.750 0.317 Er
```

No. 6
Here is a relaxed structure of CaDyEr2 from Alexandria. Energies are from PBE.

Summary:
As for the formation energy: 0.166 eV/atom. For the energy above the most stable polymorph in this dataset, the calculation gives 97 meV per atom. The calculated volume is 33.450 A^3/atom. Its space group is No. 166. Its crystal system is trigonal.

```
CaDyEr2
1.0
1.762 1.017 12.438
-1.762 1.017 12.438
0.000 -2.035 12.438
Ca Dy Er
1 1 2
Direct
0.000 0.000 0.000 Ca
0.500 0.500 0.500 Dy
0.091 0.091 0.091 Er
0.909 0.909 0.909 Er
```

No. 7
Here is a relaxed structure of CaGdDyEr from Alexandria. Energies are from PBE.

Summary:
As for the formation energy: 0.152 eV/atom. The calculated volume is 33.359 A^3/atom. Its space group is No. 216. Its crystal system is cubic.

```
CaGdDyEr
1.0
0.000 4.056 4.056
4.056 0.000 4.056
4.056 4.056 0.000
Ca Gd Dy Er
1 1 1 1
Direct
0.000 0.000 0.000 Ca
0.750 0.750 0.750 Gd
0.250 0.250 0.250 Dy
0.500 0.500 0.500 Er
```

No. 8
Here is a relaxed structure of CaDyHoEr from Alexandria. Energies are from PBE.

Summary:
As for the formation energy: 0.175 eV/atom. The calculated volume is 32.967 A^3/atom. Its space group is No. 216. Its crystal system is cubic.

```
CaDyHoEr
1.0
0.000 4.040 4.040
4.040 0.000 4.040
4.040 4.040 0.000
Ca Dy Ho Er
1 1 1 1
Direct
0.000 0.000 0.000 Ca
0.250 0.250 0.250 Dy
0.750 0.750 0.750 Ho
0.500 0.500 0.500 Er
```

No. 9
Here is a relaxed structure of CaDyEr2In4 from Alexandria. Energies are from PBE.

Summary:
As for the formation energy: -0.444 eV/atom. The calculated volume is 26.696 A^3/atom. Its space group is No. 166. Its crystal system is trigonal.

```
CaDyEr2In4
1.0
2.659 1.535 8.719
-2.659 1.535 8.719
0.000 -3.070 8.719
Ca Dy Er In
1 1 2 4
Direct
0.000 0.000 0.000 Ca
0.500 0.500 0.500 Dy
0.251 0.251 0.251 Er
0.749 0.749 0.749 Er
0.126 0.126 0.126 In
0.376 0.376 0.376 In
0.624 0.624 0.624 In
0.874 0.874 0.874 In
```

No. 10
Here is a relaxed structure of CaDyErLu from Alexandria. Energies are from PBE.

Summary:
As for the formation energy: 0.172 eV/atom. The calculated volume is 32.487 A^3/atom. Its space group is No. 216. Its crystal system is cubic.

```
CaDyErLu
1.0
0.000 4.020 4.020
4.020 0.000 4.020
4.020 4.020 0.000
Ca Dy Er Lu
1 1 1 1
Direct
0.000 0.000 0.000 Ca
0.250 0.250 0.250 Dy
0.750 0.750 0.750 Er
0.500 0.500 0.500 Lu
```

No. 11
Here is a relaxed structure of CaNd6Dy2Er from Alexandria. Energies are from PBE.

Summary:
As for the formation energy: 0.133 eV/atom. The calculated volume is 34.924 A^3/atom. Its space group is No. 15. Its crystal system is monoclinic.

```
CaNd6Dy2Er
1.0
4.604 -7.756 0.000
4.604 7.756 0.000
-1.521 0.000 9.780
Ca Nd Dy Er
2 12 4 2
Direct
0.098 0.902 0.750 Ca
0.902 0.098 0.250 Ca
0.001 0.213 0.624 Nd
0.071 0.528 0.177 Nd
0.213 0.001 0.124 Nd
0.265 0.615 0.553 Nd
0.385 0.735 0.947 Nd
0.472 0.929 0.323 Nd
0.528 0.071 0.677 Nd
0.615 0.265 0.053 Nd
0.735 0.385 0.447 Nd
0.787 0.999 0.876 Nd
0.929 0.472 0.823 Nd
0.999 0.787 0.376 Nd
0.203 0.302 0.957 Dy
0.302 0.203 0.457 Dy
0.698 0.797 0.543 Dy
0.797 0.698 0.043 Dy
0.474 0.526 0.250 Er
0.526 0.474 0.750 Er
```

No. 12
Here is a relaxed structure of CaPm6Dy2Er from Alexandria. Energies are from PBE.

Summary:
As for the formation energy: 0.136 eV/atom. The calculated volume is 34.401 A^3/atom. Its space group is No. 15. Its crystal system is monoclinic.

```
CaPm6Dy2Er
1.0
4.579 -7.719 0.000
4.579 7.719 0.000
-1.505 0.000 9.734
Ca Pm Dy Er
2 12 4 2
Direct
0.098 0.902 0.750 Ca
0.902 0.098 0.250 Ca
0.001 0.213 0.624 Pm
0.071 0.529 0.177 Pm
0.213 0.001 0.124 Pm
0.264 0.616 0.552 Pm
0.384 0.736 0.948 Pm
0.471 0.929 0.323 Pm
0.529 0.071 0.677 Pm
0.616 0.264 0.052 Pm
0.736 0.384 0.448 Pm
0.787 0.999 0.876 Pm
0.929 0.471 0.823 Pm
0.999 0.787 0.376 Pm
0.202 0.302 0.957 Dy
0.302 0.202 0.457 Dy
0.698 0.798 0.543 Dy
0.798 0.698 0.043 Dy
0.474 0.526 0.250 Er
0.526 0.474 0.750 Er
```

No. 13
Here is a relaxed structure of CaPm6Dy3Er2 from Alexandria. Energies are from PBE.

Summary:
As for the formation energy: 0.036 eV/atom. The calculated volume is 33.203 A^3/atom. Its space group is No. 12. Its crystal system is monoclinic.

```
CaPm6Dy3Er2
1.0
3.138 -5.433 0.000
3.138 5.433 0.000
-2.077 0.000 11.684
Ca Pm Dy Er
1 6 3 2
Direct
0.000 0.000 0.000 Ca
0.085 0.426 0.252 Pm
0.256 0.256 0.747 Pm
0.426 0.085 0.252 Pm
0.574 0.915 0.748 Pm
0.744 0.744 0.253 Pm
0.915 0.574 0.748 Pm
0.167 0.833 0.500 Dy
0.500 0.500 0.500 Dy
0.833 0.167 0.500 Dy
0.333 0.667 0.000 Er
0.667 0.333 0.000 Er
```

No. 14
Here is a relaxed structure of CaPmDyEr from Alexandria. Energies are from PBE.

Summary:
As for the formation energy: 0.145 eV/atom. The calculated volume is 33.797 A^3/atom. Its space group is No. 216. Its crystal system is cubic.

```
CaPmDyEr
1.0
0.000 4.074 4.074
4.074 0.000 4.074
4.074 4.074 0.000
Ca Pm Dy Er
1 1 1 1
Direct
0.000 0.000 0.000 Ca
0.750 0.750 0.750 Pm
0.250 0.250 0.250 Dy
0.500 0.500 0.500 Er
```

No. 15
Here is a relaxed structure of CaPr6DyEr2 from Alexandria. Energies are from PBE.

Summary:
As for the formation energy: 0.121 eV/atom. The calculated volume is 35.414 A^3/atom. Its space group is No. 15. Its crystal system is monoclinic.

```
CaPr6DyEr2
1.0
4.703 -7.736 0.000
4.703 7.736 0.000
-1.133 0.000 9.734
Ca Pr Dy Er
2 12 2 4
Direct
0.028 0.972 0.750 Ca
0.972 0.028 0.250 Ca
0.013 0.553 0.682 Pr
0.123 0.754 0.054 Pr
0.246 0.877 0.446 Pr
0.294 0.506 0.881 Pr
0.447 0.987 0.818 Pr
0.494 0.706 0.619 Pr
0.506 0.294 0.381 Pr
0.553 0.013 0.182 Pr
0.706 0.494 0.119 Pr
0.754 0.123 0.554 Pr
0.877 0.246 0.946 Pr
0.987 0.447 0.318 Pr
0.409 0.591 0.250 Dy
0.591 0.409 0.750 Dy
0.200 0.304 0.547 Er
0.304 0.200 0.047 Er
0.696 0.800 0.953 Er
0.800 0.696 0.453 Er
```

No. 16
Here is a relaxed structure of CaPrDyEr from Alexandria. Energies are from PBE.

Summary:
As for the formation energy: 0.133 eV/atom. The calculated volume is 34.298 A^3/atom. Its space group is No. 216. Its crystal system is cubic.

```
CaPrDyEr
1.0
0.000 4.094 4.094
4.094 0.000 4.094
4.094 4.094 0.000
Ca Pr Dy Er
1 1 1 1
Direct
0.000 0.000 0.000 Ca
0.250 0.250 0.250 Pr
0.750 0.750 0.750 Dy
0.500 0.500 0.500 Er
```

No. 17
Here is a relaxed structure of CaPr6Dy2Er from Alexandria. Energies are from PBE.

Summary:
As for the formation energy: 0.130 eV/atom. The calculated volume is 35.498 A^3/atom. Its space group is No. 15. Its crystal system is monoclinic.

```
CaPr6Dy2Er
1.0
4.639 -7.793 0.000
4.639 7.793 0.000
-1.520 0.000 9.819
Ca Pr Dy Er
2 12 4 2
Direct
0.098 0.902 0.750 Ca
0.902 0.098 0.250 Ca
0.001 0.211 0.623 Pr
0.069 0.526 0.178 Pr
0.211 0.001 0.123 Pr
0.266 0.614 0.553 Pr
0.386 0.734 0.947 Pr
0.474 0.931 0.322 Pr
0.526 0.069 0.678 Pr
0.614 0.266 0.053 Pr
0.734 0.386 0.447 Pr
0.789 0.999 0.877 Pr
0.931 0.474 0.822 Pr
0.999 0.789 0.377 Pr
0.205 0.302 0.956 Dy
0.302 0.205 0.456 Dy
0.698 0.795 0.544 Dy
0.795 0.698 0.044 Dy
0.473 0.527 0.250 Er
0.527 0.473 0.750 Er
```

No. 18
Here is a relaxed structure of Ca3Dy3ErS8 from Alexandria. Energies are from PBE.

Summary:
As for the total energy: -5.920 eV per atom. The calculated volume is 23.388 A^3/atom. Its space group is No. 166. Its crystal system is trigonal.

```
Ca3Dy3ErS8
1.0
3.933 2.271 6.547
-3.933 2.271 6.547
0.000 -4.542 6.547
Ca Dy Er S
3 3 1 8
Direct
0.000 0.500 0.500 Ca
0.500 0.000 0.500 Ca
0.500 0.500 0.000 Ca
0.000 0.000 0.500 Dy
0.000 0.500 0.000 Dy
0.500 0.000 0.000 Dy
0.500 0.500 0.500 Er
0.248 0.248 0.248 S
0.250 0.744 0.744 S
0.256 0.256 0.750 S
0.256 0.750 0.256 S
0.744 0.250 0.744 S
0.744 0.744 0.250 S
0.750 0.256 0.256 S
0.752 0.752 0.752 S
```

No. 19
Here is a relaxed structure of CaDy2ErSb4 from Alexandria. Energies are from PBE.

Summary:
As for the total energy: -5.057 eV per atom. The calculated volume is 30.339 A^3/atom. Its space group is No. 10. Its crystal system is monoclinic.

```
CaDy2ErSb4
1.0
7.655 0.000 0.000
0.000 4.376 0.000
-2.505 0.000 7.245
Ca Dy Er Sb
1 2 1 4
Direct
0.000 0.000 0.000 Ca
0.500 0.000 0.500 Dy
0.500 0.500 0.000 Dy
0.000 0.500 0.500 Er
0.251 0.000 0.746 Sb
0.255 0.500 0.257 Sb
0.745 0.500 0.743 Sb
0.749 0.000 0.254 Sb
```

No. 20
Here is a relaxed structure of CaDyEr2Sb4 from Alexandria. Energies are from PBE.

Summary:
As for the total energy: -5.046 eV per atom. The calculated volume is 30.168 A^3/atom. Its space group is No. 10. Its crystal system is monoclinic.

```
CaDyEr2Sb4
1.0
7.642 0.000 0.000
0.000 4.367 0.000
-2.498 0.000 7.232
Ca Dy Er Sb
1 1 2 4
Direct
0.000 0.000 0.000 Ca
0.500 0.500 0.000 Dy
0.000 0.500 0.500 Er
0.500 0.000 0.500 Er
0.252 0.000 0.745 Sb
0.257 0.500 0.259 Sb
0.743 0.500 0.741 Sb
0.748 0.000 0.255 Sb
```

No. 21
Here is a relaxed structure of CaDyErSc from Alexandria. Energies are from PBE.

Summary:
As for the formation energy: 0.184 eV/atom. The calculated volume is 30.901 A^3/atom. Its space group is No. 216. Its crystal system is cubic.

```
CaDyErSc
1.0
0.000 3.954 3.954
3.954 0.000 3.954
3.954 3.954 0.000
Ca Dy Er Sc
1 1 1 1
Direct
0.000 0.000 0.000 Ca
0.750 0.750 0.750 Dy
0.250 0.250 0.250 Er
0.500 0.500 0.500 Sc
```

No. 22
Here is a relaxed structure of CaDyEr4Se8 from Alexandria. Energies are from PBE.

Summary:
As for the total energy: -5.554 eV per atom. The calculated volume is 29.994 A^3/atom. Its space group is No. 160. Its crystal system is trigonal.

```
CaDyEr4Se8
1.0
4.199 2.424 6.875
-4.199 2.424 6.875
0.000 -4.849 6.875
Ca Dy Er Se
1 1 4 8
Direct
0.000 0.000 0.000 Ca
0.372 0.372 0.372 Dy
0.372 0.372 0.881 Er
0.372 0.881 0.372 Er
0.749 0.749 0.749 Er
0.881 0.372 0.372 Er
0.133 0.133 0.594 Se
0.133 0.594 0.133 Se
0.135 0.135 0.135 Se
0.147 0.618 0.618 Se
0.594 0.133 0.133 Se
0.617 0.617 0.617 Se
0.618 0.147 0.618 Se
0.618 0.618 0.147 Se
```